! BaCd2Co (PBE-GGA, relaxed); values from VASP
&SYSTEM
  ibrav = 0, nat = 4, ntyp = 3
/
ATOMIC_SPECIES
Ba 137.33 Ba.upf
Cd 112.41 Cd.upf
Co 58.93 Co.upf
ATOMIC_POSITIONS crystal
Ba 0.000 0.000 0.000
Cd 0.200 0.200 0.200
Cd 0.800 0.800 0.800
Co 0.500 0.500 0.500
CELL_PARAMETERS angstrom
2.316 1.337 5.986
-2.316 1.337 5.986
0.000 -2.674 5.986
! * Fermi-level density of states: 7.2 states/eV per cell
! * M_tot: 0.205 μB/atom
! * DFT formation energy: 0.127 eV per atom
! * final energy: -10.4 eV for the cell shown
! * symmetry: R-3m (166)



! BaCd2Co (PBE-GGA, relaxed); values from VASP
&SYSTEM
  ibrav = 0, nat = 4, ntyp = 3
/
ATOMIC_SPECIES
Ba 137.33 Ba.upf
Cd 112.41 Cd.upf
Co 58.93 Co.upf
ATOMIC_POSITIONS crystal
Ba 0.000 0.000 0.000
Cd 0.250 0.750 0.500
Cd 0.750 0.250 0.500
Co 0.500 0.500 0.000
CELL_PARAMETERS angstrom
-2.352 2.352 4.714
2.352 -2.352 4.714
2.352 2.352 -4.714
! * Fermi-level density of states: 5.7 states/eV per cell
! * M_tot: 0.283 μB/atom
! * DFT formation energy: 0.359 eV per atom
! * final energy: -9.4 eV for the cell shown
! * symmetry: I4/mmm (139)



! BaCdCo (PBE-GGA, relaxed); values from VASP
&SYSTEM
  ibrav = 0, nat = 3, ntyp = 3
/
ATOMIC_SPECIES
Ba 137.33 Ba.upf
Cd 112.41 Cd.upf
Co 58.93 Co.upf
ATOMIC_POSITIONS crystal
Ba 0.000 0.000 0.000
Cd 0.280 0.280 0.000
Co 0.705 0.705 0.000
CELL_PARAMETERS angstrom
-1.836 1.836 5.796
1.836 -1.836 5.796
1.836 1.836 -5.796
! * Fermi-level density of states: 4.1 states/eV per cell
! * M_tot: 0.378 μB/atom
! * DFT formation energy: 0.335 eV per atom
! * final energy: -8.9 eV for the cell shown
! * symmetry: I4mm (107)



! BaCdCo2 (PBE-GGA, relaxed); values from VASP
&SYSTEM
  ibrav = 0, nat = 4, ntyp = 3
/
ATOMIC_SPECIES
Ba 137.33 Ba.upf
Cd 112.41 Cd.upf
Co 58.93 Co.upf
ATOMIC_POSITIONS crystal
Ba 0.000 0.000 0.000
Cd 0.500 0.000 0.500
Co 0.266 0.500 0.606
Co 0.734 0.500 0.394
CELL_PARAMETERS angstrom
3.726 0.000 0.000
0.000 4.715 0.000
-0.653 0.000 5.889
! * Fermi-level density of states: 5.6 states/eV per cell
! * M_tot: 0.786 μB/atom
! * DFT formation energy: 0.515 eV per atom
! * final energy: -15.0 eV for the cell shown
! * symmetry: P2/m (10)



! Ba2CdCo (PBE-GGA, relaxed); values from VASP
&SYSTEM
  ibrav = 0, nat = 4, ntyp = 3
/
ATOMIC_SPECIES
Ba 137.33 Ba.upf
Cd 112.41 Cd.upf
Co 58.93 Co.upf
ATOMIC_POSITIONS crystal
Ba 0.000 0.000 0.000
Ba 0.500 0.500 0.420
Cd 0.000 0.000 0.660
Co 0.500 0.500 0.755
CELL_PARAMETERS angstrom
3.828 0.000 0.000
0.000 3.828 0.000
0.000 0.000 9.349
! * Fermi-level density of states: 4.5 states/eV per cell
! * M_tot: 0.309 μB/atom
! * DFT formation energy: 0.266 eV per atom
! * final energy: -10.8 eV for the cell shown
! * symmetry: P4mm (99)



! BaCd2Co (PBE-GGA, relaxed); values from VASP
&SYSTEM
  ibrav = 0, nat = 4, ntyp = 3
/
ATOMIC_SPECIES
Ba 137.33 Ba.upf
Cd 112.41 Cd.upf
Co 58.93 Co.upf
ATOMIC_POSITIONS crystal
Ba 0.000 0.000 0.000
Cd 0.000 0.500 0.500
Cd 0.500 0.000 0.500
Co 0.500 0.500 0.000
CELL_PARAMETERS angstrom
4.347 0.000 0.000
0.000 4.646 0.000
0.000 0.000 5.315
! * Fermi-level density of states: 5.5 states/eV per cell
! * M_tot: 0.312 μB/atom
! * DFT formation energy: 0.400 eV per atom
! * final energy: -9.3 eV for the cell shown
! * symmetry: Pmmm (47)



! BaCd2Co (PBE-GGA, relaxed); values from VASP
&SYSTEM
  ibrav = 0, nat = 4, ntyp = 3
/
ATOMIC_SPECIES
Ba 137.33 Ba.upf
Cd 112.41 Cd.upf
Co 58.93 Co.upf
ATOMIC_POSITIONS crystal
Ba 0.000 0.000 0.000
Cd 0.298 0.000 0.543
Cd 0.764 0.500 0.478
Co 0.391 0.500 0.761
CELL_PARAMETERS angstrom
4.158 0.000 0.000
0.000 4.381 0.000
-1.865 0.000 6.337
! * Fermi-level density of states: 4.3 states/eV per cell
! * M_tot: 0.238 μB/atom
! * DFT formation energy: 0.228 eV per atom
! * final energy: -9.9 eV for the cell shown
! * symmetry: Pm (6)



! Ba4CdCo (PBE-GGA, relaxed); values from VASP
&SYSTEM
  ibrav = 0, nat = 6, ntyp = 3
/
ATOMIC_SPECIES
Ba 137.33 Ba.upf
Cd 112.41 Cd.upf
Co 58.93 Co.upf
ATOMIC_POSITIONS crystal
Ba 0.125 0.125 0.125
Ba 0.125 0.125 0.624
Ba 0.125 0.624 0.125
Ba 0.624 0.125 0.125
Cd 0.750 0.750 0.750
Co 0.500 0.500 0.500
CELL_PARAMETERS angstrom
0.000 5.087 5.087
5.087 0.000 5.087
5.087 5.087 0.000
! * Fermi-level density of states: 11.2 states/eV per cell
! * M_tot: 0.073 μB/atom
! * DFT formation energy: 0.840 eV per atom
! * final energy: -10.7 eV for the cell shown
! * symmetry: F-43m (216)



! BaCd2Co (PBE-GGA, relaxed); values from VASP
&SYSTEM
  ibrav = 0, nat = 4, ntyp = 3
/
ATOMIC_SPECIES
Ba 137.33 Ba.upf
Cd 112.41 Cd.upf
Co 58.93 Co.upf
ATOMIC_POSITIONS crystal
Ba 0.000 0.000 0.000
Cd 0.250 0.250 0.250
Cd 0.500 0.500 0.500
Co 0.750 0.750 0.750
CELL_PARAMETERS angstrom
0.000 3.741 3.741
3.741 0.000 3.741
3.741 3.741 0.000
! * Fermi-level density of states: 5.3 states/eV per cell
! * M_tot: 0.306 μB/atom
! * DFT formation energy: 0.347 eV per atom
! * final energy: -9.5 eV for the cell shown
! * symmetry: F-43m (216)



! BaCdCo2 (PBE-GGA, relaxed); values from VASP
&SYSTEM
  ibrav = 0, nat = 4, ntyp = 3
/
ATOMIC_SPECIES
Ba 137.33 Ba.upf
Cd 112.41 Cd.upf
Co 58.93 Co.upf
ATOMIC_POSITIONS crystal
Ba 0.000 0.000 0.000
Cd 0.302 0.802 0.500
Co 0.546 0.546 0.000
Co 0.690 0.190 0.500
CELL_PARAMETERS angstrom
-1.710 2.674 4.990
1.710 -2.674 4.990
1.710 2.674 -4.990
! * Fermi-level density of states: 4.4 states/eV per cell
! * M_tot: 0.749 μB/atom
! * DFT formation energy: 0.509 eV per atom
! * final energy: -15.0 eV for the cell shown
! * symmetry: Imm2 (44)



! BaCd2Co (PBE-GGA, relaxed); values from VASP
&SYSTEM
  ibrav = 0, nat = 4, ntyp = 3
/
ATOMIC_SPECIES
Ba 137.33 Ba.upf
Cd 112.41 Cd.upf
Co 58.93 Co.upf
ATOMIC_POSITIONS crystal
Ba 0.000 0.000 0.000
Cd 0.196 0.196 0.695
Cd 0.804 0.804 0.305
Co 0.500 0.500 0.500
CELL_PARAMETERS angstrom
6.058 -1.727 0.000
6.058 1.727 0.000
-2.361 0.000 4.829
! * Fermi-level density of states: 4.8 states/eV per cell
! * M_tot: 0.198 μB/atom
! * DFT formation energy: 0.225 eV per atom
! * final energy: -10.0 eV for the cell shown
! * symmetry: C2/m (12)



! BaCdCo2 (PBE-GGA, relaxed); values from VASP
&SYSTEM
  ibrav = 0, nat = 4, ntyp = 3
/
ATOMIC_SPECIES
Ba 137.33 Ba.upf
Cd 112.41 Cd.upf
Co 58.93 Co.upf
ATOMIC_POSITIONS crystal
Ba 0.000 0.000 0.000
Cd 0.190 0.190 0.190
Co 0.461 0.461 0.461
Co 0.792 0.792 0.792
CELL_PARAMETERS angstrom
2.096 1.210 6.250
-2.096 1.210 6.250
0.000 -2.421 6.250
! * Fermi-level density of states: 2.5 states/eV per cell
! * M_tot: 0.705 μB/atom
! * DFT formation energy: 0.183 eV per atom
! * final energy: -16.3 eV for the cell shown
! * symmetry: R3m (160)



Among the records above, which one has the highest Fermi-level density of states? Ba4CdCo



What is the DFT formation energy in the sixth record? 0.400 eV per atom



Among the records above, which one has the highest Fermi-level density of states? Ba4CdCo



Number 1 is which compound? BaCd2Co